Entry 1:
{
  "formula": "LiTlSe2",
  "functional": "PBE-GGA",
  "state": "relaxed",
  "crystal_system": "monoclinic",
  "space_group": "C2/c (15)",
  "dos_at_fermi_per_ev_atom": 0.00,
  "raw_formation_energy_ev_per_atom": -0.52,
  "lattice": [[4.262, -4.627, 0.000], [4.262, 4.627, 0.000], [-2.178, 0.000, 5.264]],
  "species": ["Li", "Li", "Tl", "Tl", "Se", "Se", "Se", "Se"],
  "frac_coords": [[0.008, 0.992, 0.750], [0.992, 0.008, 0.250], [0.363, 0.637, 0.750], [0.637, 0.363, 0.250], [0.108, 0.376, 0.101], [0.376, 0.108, 0.601], [0.624, 0.892, 0.399], [0.892, 0.624, 0.899]]
}

---

Entry 2:
{
  "formula": "LiTlSe2",
  "functional": "PBE-GGA",
  "state": "relaxed",
  "crystal_system": "tetragonal",
  "space_group": "I4_1/amd (141)",
  "dos_at_fermi_per_ev_atom": 0.68,
  "raw_formation_energy_ev_per_atom": -0.49,
  "lattice": [[-2.884, 2.884, 5.683], [2.884, -2.884, 5.683], [2.884, 2.884, -5.683]],
  "species": ["Li", "Li", "Tl", "Tl", "Se", "Se", "Se", "Se"],
  "frac_coords": [[0.375, 0.625, 0.750], [0.625, 0.375, 0.250], [0.125, 0.875, 0.250], [0.875, 0.125, 0.750], [0.123, 0.373, 0.750], [0.373, 0.123, 0.250], [0.627, 0.877, 0.750], [0.877, 0.627, 0.250]]
}

---

Entry 3:
{
  "formula": "LiTl2Se",
  "functional": "PBE-GGA",
  "state": "relaxed",
  "crystal_system": "monoclinic",
  "space_group": "Pm (6)",
  "dos_at_fermi_per_ev_atom": 0.37,
  "raw_formation_energy_ev_per_atom": -0.45,
  "lattice": [[3.778, 0.000, 0.000], [0.000, 3.780, 0.000], [-0.019, 0.000, 7.459]],
  "species": ["Li", "Tl", "Tl", "Se"],
  "frac_coords": [[0.000, 0.000, 0.000], [0.002, 0.500, 0.664], [0.502, 0.000, 0.336], [0.501, 0.500, 0.000]]
}

---

Entry 4:
{
  "formula": "LiTlSe2",
  "functional": "PBE-GGA",
  "state": "relaxed",
  "crystal_system": "trigonal",
  "space_group": "P3m1 (156)",
  "dos_at_fermi_per_ev_atom": 0.12,
  "raw_formation_energy_ev_per_atom": -0.55,
  "lattice": [[4.276, 0.000, 0.000], [-2.138, 3.703, 0.000], [0.000, 0.000, 7.073]],
  "species": ["Li", "Tl", "Se", "Se"],
  "frac_coords": [[0.000, 0.000, 0.000], [0.333, 0.667, 0.578], [0.333, 0.667, 0.944], [0.667, 0.333, 0.394]]
}

---

Entry 5:
{
  "formula": "LiTlSe2",
  "functional": "PBE-GGA",
  "state": "relaxed",
  "crystal_system": "monoclinic",
  "space_group": "Cm (8)",
  "dos_at_fermi_per_ev_atom": 0.25,
  "raw_formation_energy_ev_per_atom": -0.45,
  "lattice": [[8.429, -1.426, 0.000], [8.429, 1.426, 0.000], [-1.054, 0.000, 4.095]],
  "species": ["Li", "Tl", "Se", "Se"],
  "frac_coords": [[0.000, 0.000, 0.000], [0.269, 0.269, 0.773], [0.429, 0.429, 0.431], [0.642, 0.642, 0.146]]
}

---

Entry 6:
{
  "formula": "LiTlSe2",
  "functional": "PBE-GGA",
  "state": "relaxed",
  "crystal_system": "triclinic",
  "space_group": "P-1 (2)",
  "dos_at_fermi_per_ev_atom": 0.00,
  "raw_formation_energy_ev_per_atom": -0.56,
  "lattice": [[4.259, 0.000, 0.000], [-1.675, 6.270, 0.000], [-0.058, -1.527, 7.915]],
  "species": ["Li", "Li", "Tl", "Tl", "Se", "Se", "Se", "Se"],
  "frac_coords": [[0.038, 0.276, 0.338], [0.962, 0.724, 0.662], [0.152, 0.296, 0.870], [0.848, 0.704, 0.130], [0.453, 0.660, 0.456], [0.498, 0.921, 0.846], [0.502, 0.079, 0.154], [0.547, 0.340, 0.544]]
}

---

Entry 7:
{
  "formula": "LiTlSe2",
  "functional": "PBE-GGA",
  "state": "relaxed",
  "crystal_system": "triclinic",
  "space_group": "P1 (1)",
  "dos_at_fermi_per_ev_atom": 0.00,
  "raw_formation_energy_ev_per_atom": -0.56,
  "lattice": [[4.259, 0.000, 0.000], [-1.971, 5.930, 0.000], [-0.881, -0.814, 8.484]],
  "species": ["Li", "Li", "Tl", "Tl", "Se", "Se", "Se", "Se"],
  "frac_coords": [[0.000, 0.000, 0.000], [0.102, 0.463, 0.798], [0.058, 0.963, 0.509], [0.292, 0.492, 0.257], [0.554, 0.846, 0.755], [0.571, 0.276, 0.929], [0.571, 0.480, 0.620], [0.595, 0.104, 0.190]]
}

---

Entry 8:
{
  "formula": "LiTl2Se",
  "functional": "PBE-GGA",
  "state": "relaxed",
  "crystal_system": "trigonal",
  "space_group": "R-3m (166)",
  "dos_at_fermi_per_ev_atom": 0.41,
  "raw_formation_energy_ev_per_atom": -0.25,
  "lattice": [[1.969, 1.137, 7.857], [-1.969, 1.137, 7.857], [0.000, -2.274, 7.857]],
  "species": ["Li", "Tl", "Tl", "Se"],
  "frac_coords": [[0.000, 0.000, 0.000], [0.248, 0.248, 0.248], [0.752, 0.752, 0.752], [0.500, 0.500, 0.500]]
}

---

Entry 9:
{
  "formula": "LiTlSe4",
  "functional": "PBE-GGA",
  "state": "relaxed",
  "crystal_system": "cubic",
  "space_group": "F-43m (216)",
  "dos_at_fermi_per_ev_atom": 0.17,
  "raw_formation_energy_ev_per_atom": -0.02,
  "lattice": [[0.000, 4.186, 4.186], [4.186, 0.000, 4.186], [4.186, 4.186, 0.000]],
  "species": ["Li", "Tl", "Se", "Se", "Se", "Se"],
  "frac_coords": [[0.000, 0.000, 0.000], [0.250, 0.250, 0.250], [0.124, 0.625, 0.625], [0.625, 0.124, 0.625], [0.625, 0.625, 0.124], [0.625, 0.625, 0.625]]
}

---

Entry 10:
{
  "formula": "LiTlSe2",
  "functional": "PBE-GGA",
  "state": "relaxed",
  "crystal_system": "monoclinic",
  "space_group": "C2/c (15)",
  "dos_at_fermi_per_ev_atom": 0.00,
  "raw_formation_energy_ev_per_atom": -0.54,
  "lattice": [[4.951, -6.501, 0.000], [4.951, 6.501, 0.000], [-0.752, 0.000, 13.521]],
  "species": ["Li", "Li", "Li", "Li", "Li", "Li", "Li", "Li", "Tl", "Tl", "Tl", "Tl", "Tl", "Tl", "Tl", "Tl", "Se", "Se", "Se", "Se", "Se", "Se", "Se", "Se", "Se", "Se", "Se", "Se", "Se", "Se", "Se", "Se"],
  "frac_coords": [[0.130, 0.848, 0.635], [0.152, 0.870, 0.865], [0.207, 0.331, 0.663], [0.331, 0.207, 0.163], [0.669, 0.793, 0.837], [0.793, 0.669, 0.337], [0.848, 0.130, 0.135], [0.870, 0.152, 0.365], [0.022, 0.306, 0.886], [0.236, 0.516, 0.366], [0.306, 0.022, 0.386], [0.484, 0.764, 0.134], [0.516, 0.236, 0.866], [0.694, 0.978, 0.614], [0.764, 0.484, 0.634], [0.978, 0.694, 0.114], [0.032, 0.968, 0.250], [0.061, 0.547, 0.743], [0.156, 0.240, 0.479], [0.227, 0.670, 0.997], [0.240, 0.156, 0.979], [0.330, 0.773, 0.503], [0.453, 0.939, 0.757], [0.496, 0.504, 0.250], [0.504, 0.496, 0.750], [0.547, 0.061, 0.243], [0.670, 0.227, 0.497], [0.760, 0.844, 0.021], [0.773, 0.330, 0.003], [0.844, 0.760, 0.521], [0.939, 0.453, 0.257], [0.968, 0.032, 0.750]]
}

---

Entry 11:
{
  "formula": "LiTlSe2",
  "functional": "PBE-GGA",
  "state": "relaxed",
  "crystal_system": "monoclinic",
  "space_group": "C2/m (12)",
  "dos_at_fermi_per_ev_atom": 0.28,
  "raw_formation_energy_ev_per_atom": -0.38,
  "lattice": [[2.837, -4.154, 0.000], [2.837, 4.154, 0.000], [-0.792, 0.000, 4.033]],
  "species": ["Li", "Tl", "Se", "Se"],
  "frac_coords": [[0.000, 0.000, 0.000], [0.500, 0.500, 0.000], [0.000, 0.500, 0.500], [0.500, 0.000, 0.500]]
}

---

Entry 12:
{
  "formula": "LiTl2Se",
  "functional": "PBE-GGA",
  "state": "relaxed",
  "crystal_system": "tetragonal",
  "space_group": "P4mm (99)",
  "dos_at_fermi_per_ev_atom": 0.43,
  "raw_formation_energy_ev_per_atom": -0.42,
  "lattice": [[3.661, 0.000, 0.000], [0.000, 3.661, 0.000], [0.000, 0.000, 7.806]],
  "species": ["Li", "Tl", "Tl", "Se"],
  "frac_coords": [[0.000, 0.000, 0.000], [0.000, 0.000, 0.366], [0.500, 0.500, 0.717], [0.500, 0.500, 0.099]]
}

---

Entry 13:
{
  "formula": "LiTl2Se",
  "functional": "PBE-GGA",
  "state": "relaxed",
  "crystal_system": "tetragonal",
  "space_group": "I-4m2 (119)",
  "dos_at_fermi_per_ev_atom": 0.40,
  "raw_formation_energy_ev_per_atom": -0.31,
  "lattice": [[-2.327, 2.327, 4.763], [2.327, -2.327, 4.763], [2.327, 2.327, -4.763]],
  "species": ["Li", "Tl", "Tl", "Se"],
  "frac_coords": [[0.000, 0.000, 0.000], [0.500, 0.500, 0.000], [0.750, 0.250, 0.500], [0.250, 0.750, 0.500]]
}

---

Entry 14:
{
  "formula": "LiTlSe2",
  "functional": "PBE-GGA",
  "state": "relaxed",
  "crystal_system": "triclinic",
  "space_group": "P1 (1)",
  "dos_at_fermi_per_ev_atom": 0.00,
  "raw_formation_energy_ev_per_atom": -0.56,
  "lattice": [[4.524, 0.000, 0.000], [1.577, 6.170, 0.000], [1.624, 1.373, 7.518]],
  "species": ["Li", "Li", "Tl", "Tl", "Se", "Se", "Se", "Se"],
  "frac_coords": [[0.000, 0.000, 0.000], [0.393, 0.530, 0.800], [0.440, 0.102, 0.474], [0.777, 0.503, 0.198], [0.117, 0.802, 0.358], [0.417, 0.175, 0.039], [0.681, 0.836, 0.840], [0.966, 0.544, 0.625]]
}

---

Entry 15:
{
  "formula": "LiTlSe2",
  "functional": "PBE-GGA",
  "state": "relaxed",
  "crystal_system": "monoclinic",
  "space_group": "Cm (8)",
  "dos_at_fermi_per_ev_atom": 0.00,
  "raw_formation_energy_ev_per_atom": -0.57,
  "lattice": [[3.920, -2.180, 0.000], [3.920, 2.180, 0.000], [-0.464, 0.000, 6.231]],
  "species": ["Li", "Tl", "Se", "Se"],
  "frac_coords": [[0.000, 0.000, 0.000], [0.314, 0.314, 0.520], [0.616, 0.616, 0.228], [0.673, 0.673, 0.841]]
}

---

Entry 16:
{
  "formula": "LiTlSe2",
  "functional": "PBE-GGA",
  "state": "relaxed",
  "crystal_system": "trigonal",
  "space_group": "R3m (160)",
  "dos_at_fermi_per_ev_atom": 0.22,
  "raw_formation_energy_ev_per_atom": -0.47,
  "lattice": [[2.010, 1.160, 6.842], [-2.010, 1.160, 6.842], [0.000, -2.321, 6.842]],
  "species": ["Li", "Tl", "Se", "Se"],
  "frac_coords": [[0.000, 0.000, 0.000], [0.168, 0.168, 0.168], [0.585, 0.585, 0.585], [0.750, 0.750, 0.750]]
}

---

Entry 17:
{
  "formula": "LiTlSe2",
  "functional": "PBE-GGA",
  "state": "relaxed",
  "crystal_system": "monoclinic",
  "space_group": "P2_1/c (14)",
  "dos_at_fermi_per_ev_atom": 0.00,
  "raw_formation_energy_ev_per_atom": -0.57,
  "lattice": [[7.504, 0.000, 0.000], [0.000, 4.388, 0.000], [-5.835, 0.000, 13.440]],
  "species": ["Li", "Li", "Li", "Li", "Tl", "Tl", "Tl", "Tl", "Se", "Se", "Se", "Se", "Se", "Se", "Se", "Se"],
  "frac_coords": [[0.087, 0.065, 0.329], [0.087, 0.435, 0.829], [0.913, 0.565, 0.171], [0.913, 0.935, 0.671], [0.323, 0.101, 0.617], [0.323, 0.399, 0.117], [0.677, 0.601, 0.883], [0.677, 0.899, 0.383], [0.134, 0.586, 0.450], [0.134, 0.914, 0.950], [0.258, 0.559, 0.317], [0.258, 0.941, 0.817], [0.742, 0.059, 0.183], [0.742, 0.441, 0.683], [0.866, 0.086, 0.050], [0.866, 0.414, 0.550]]
}

---

Entry 18:
{
  "formula": "LiU3Tl4Se8",
  "functional": "PBE-GGA",
  "state": "relaxed",
  "crystal_system": "trigonal",
  "space_group": "R-3m (166)",
  "dos_at_fermi_per_ev_atom": 0.79,
  "raw_formation_energy_ev_per_atom": -0.91,
  "lattice": [[4.160, 2.402, 7.778], [-4.160, 2.402, 7.778], [0.000, -4.804, 7.778]],
  "species": ["Li", "U", "U", "U", "Tl", "Tl", "Tl", "Tl", "Se", "Se", "Se", "Se", "Se", "Se", "Se", "Se"],
  "frac_coords": [[0.000, 0.000, 0.000], [0.000, 0.500, 0.500], [0.500, 0.000, 0.500], [0.500, 0.500, 0.000], [0.000, 0.000, 0.500], [0.000, 0.500, 0.000], [0.500, 0.000, 0.000], [0.500, 0.500, 0.500], [0.236, 0.236, 0.728], [0.236, 0.728, 0.236], [0.264, 0.264, 0.264], [0.272, 0.764, 0.764], [0.728, 0.236, 0.236], [0.736, 0.736, 0.736], [0.764, 0.272, 0.764], [0.764, 0.764, 0.272]]
}

---

Entry 19:
{
  "formula": "LiU2TlSe4",
  "functional": "PBE-GGA",
  "state": "relaxed",
  "crystal_system": "orthorhombic",
  "space_group": "Cmcm (63)",
  "dos_at_fermi_per_ev_atom": 1.27,
  "raw_formation_energy_ev_per_atom": -1.00,
  "lattice": [[2.086, -6.999, 0.000], [2.086, 6.999, 0.000], [0.000, 0.000, 14.810]],
  "species": ["Li", "Li", "U", "U", "U", "U", "Tl", "Tl", "Se", "Se", "Se", "Se", "Se", "Se", "Se", "Se"],
  "frac_coords": [[0.172, 0.828, 0.750], [0.828, 0.172, 0.250], [0.367, 0.633, 0.060], [0.367, 0.633, 0.440], [0.633, 0.367, 0.560], [0.633, 0.367, 0.940], [0.105, 0.895, 0.250], [0.895, 0.105, 0.750], [0.000, 0.000, 0.000], [0.000, 0.000, 0.500], [0.268, 0.732, 0.609], [0.268, 0.732, 0.891], [0.426, 0.574, 0.250], [0.574, 0.426, 0.750], [0.732, 0.268, 0.109], [0.732, 0.268, 0.391]]
}

---

Entry 20:
{
  "formula": "Li2U3TlSe6",
  "functional": "PBE-GGA",
  "state": "relaxed",
  "crystal_system": "monoclinic",
  "space_group": "C2/m (12)",
  "dos_at_fermi_per_ev_atom": 1.64,
  "raw_formation_energy_ev_per_atom": -1.00,
  "lattice": [[9.274, -2.043, 0.000], [9.274, 2.043, 0.000], [-2.835, 0.000, 8.597]],
  "species": ["Li", "Li", "U", "U", "U", "Tl", "Se", "Se", "Se", "Se", "Se", "Se"],
  "frac_coords": [[0.156, 0.156, 0.401], [0.844, 0.844, 0.599], [0.167, 0.167, 0.826], [0.500, 0.500, 0.500], [0.833, 0.833, 0.174], [0.500, 0.500, 0.000], [0.000, 0.000, 0.276], [0.000, 0.000, 0.724], [0.327, 0.327, 0.946], [0.331, 0.331, 0.409], [0.669, 0.669, 0.591], [0.673, 0.673, 0.054]]
}